# 1
Computed, not measured: a relaxed Zn5Sn crystal at the GGA-PBE level of DFT.

## Properties
Its electronic total energy is -9.652 eV/cell. Its theoretical density is 7.145 g/cm³.

```
Zn5Sn
1.0
5.092 0.000 0.000
-2.546 4.410 0.000
0.000 0.000 4.612
Zn Sn
5 1
direct
0.000 0.380 0.000
0.333 0.667 0.500
0.380 0.000 0.000
0.620 0.620 0.000
0.667 0.333 0.500
0.000 0.000 0.500
```

***

# 2
Computed, not measured: a relaxed DyTlAuSe3 crystal at the GGA-PBE level of DFT.

## Properties
Its electronic total energy is -51.705 eV/cell. Its total moment is 0.0 Bohr magnetons per cell. Its theoretical density is 8.402 g/cm³.

```
DyTlAuSe3
1.0
2.011 -7.309 0.000
2.011 7.309 0.000
0.000 0.000 10.763
Dy Tl Au Se
2 2 2 6
direct
0.000 0.000 0.000
0.000 0.000 0.500
0.241 0.759 0.750
0.759 0.241 0.250
0.465 0.535 0.250
0.535 0.465 0.750
0.080 0.920 0.250
0.364 0.636 0.050
0.364 0.636 0.450
0.636 0.364 0.550
0.636 0.364 0.950
0.920 0.080 0.750
```

***

# 3
Computed, not measured: a relaxed TeAuNO crystal at the GGA-PBE level of DFT.

## Properties
Its electronic total energy is -33.295 eV/cell. Its theoretical density is 10.520 g/cm³. The calculation puts the energy above the most stable polymorph in this dataset at 504 meV/atom.

```
TeAuNO
1.0
4.913 0.000 0.000
0.000 4.913 0.000
0.000 0.000 4.638
Te Au N O
2 2 2 2
direct
0.250 0.750 0.000
0.750 0.250 0.000
0.250 0.250 0.496
0.750 0.750 0.504
0.250 0.250 0.996
0.750 0.750 0.004
0.250 0.750 0.500
0.750 0.250 0.500
```

***

# 4
Computed, not measured: a relaxed Cs2SrPdBr6 crystal at the GGA-PBE level of DFT.

## Properties
Its electronic total energy is -32.224 eV/cell. Its theoretical density is 4.296 g/cm³.

```
Cs2SrPdBr6
1.0
0.000 5.662 5.662
5.662 0.000 5.662
5.662 5.662 0.000
Cs Sr Pd Br
2 1 1 6
direct
0.250 0.250 0.250
0.750 0.750 0.750
0.000 0.000 0.000
0.500 0.500 0.500
0.264 0.264 0.736
0.264 0.736 0.264
0.264 0.736 0.736
0.736 0.264 0.264
0.736 0.264 0.736
0.736 0.736 0.264
```

***

# 5
Computed, not measured: a relaxed PrNd2Co2B2C3 crystal at the GGA-PBE level of DFT.

## Properties
Its electronic total energy is -70.795 eV/cell. Its total moment is 1.4 Bohr magnetons per cell. Its theoretical density is 7.003 g/cm³.

```
PrNd2Co2B2C3
1.0
-1.847 1.847 10.516
1.847 -1.847 10.516
1.847 1.847 -10.516
Pr Nd Co B C
1 2 2 2 3
direct
0.000 0.000 0.000
0.371 0.371 0.000
0.629 0.629 0.000
0.250 0.750 0.500
0.750 0.250 0.500
0.199 0.199 0.000
0.801 0.801 0.000
0.127 0.127 0.000
0.500 0.500 0.000
0.873 0.873 0.000
```

***

# 6
Computed, not measured: a relaxed RbTaAl crystal at the GGA-PBE level of DFT.

## Properties
Its electronic total energy is -11.077 eV/cell. Its total moment is 1.7 Bohr magnetons per cell. Its theoretical density is 5.409 g/cm³. The calculation puts the energy above the most stable polymorph in this dataset at 0 meV/atom.

```
RbTaAl
1.0
0.000 3.558 3.558
3.558 0.000 3.558
3.558 3.558 0.000
Rb Ta Al
1 1 1
direct
0.000 0.000 0.000
0.500 0.500 0.500
0.250 0.250 0.250
```

***

# 7
Computed, not measured: a relaxed GdNiGe crystal at the GGA-PBE level of DFT.

## Properties
Its electronic total energy is -34.251 eV/cell. Its total moment is 0.0 Bohr magnetons per cell. Its theoretical density is 8.315 g/cm³.

```
GdNiGe
1.0
-2.030 2.030 6.990
2.030 -2.030 6.990
2.030 2.030 -6.990
Gd Ni Ge
2 2 2
direct
0.000 0.000 0.000
0.750 0.250 0.500
0.337 0.837 0.500
0.587 0.587 0.000
0.168 0.668 0.500
0.418 0.418 0.000
```

***

# 8
Computed, not measured: a relaxed FeCuSbAu crystal at the GGA-PBE level of DFT.

## Properties
Its electronic total energy is -18.636 eV/cell. Its total moment is 2.3 Bohr magnetons per cell. Its theoretical density is 11.219 g/cm³. The calculation puts the energy above the most stable polymorph in this dataset at 0 meV/atom.

```
FeCuSbAu
1.0
0.000 3.189 3.189
3.189 0.000 3.189
3.189 3.189 0.000
Fe Cu Sb Au
1 1 1 1
direct
0.000 0.000 0.000
0.500 0.500 0.500
0.250 0.250 0.250
0.750 0.750 0.750
```